[1]
Crystalline Rb4Y3TmTe8 at its relaxed geometry, computed with PBE.

Formation energy (no corrections) in meV per atom: -1389
Crystal system: trigonal

Cell: 9.0336 10.0162 9.0345 Å, 116.83 120.00 90.00°
Closest atoms and distances in Å follow each position.
Sites, in units of the cell vectors:
Rb (0.5000, 0.0000, 0.0000)  6 Te 3.68
Rb (0.5000, 0.0000, 0.5000)  6 Te 3.66
Rb (0.0000, 0.0000, 0.0000)  6 Te 3.66
Rb (0.0000, 0.0000, 0.5000)  6 Te 3.66
Y (0.5000, 0.5000, 0.0000)  6 Te 3.12
Y (0.5000, 0.5000, 0.5000)  6 Te 3.12
Y (0.0000, 0.5000, 0.5000)  6 Te 3.12
Tm (0.0000, 0.5000, 0.0000)  6 Te 3.09
Te (0.2315, 0.6986, 0.9673)  1 Tm 3.09, 2 Y 3.12
Te (0.2315, 0.6986, 0.4630)  1 Tm 3.09, 2 Y 3.12
Te (0.2666, 0.3001, 0.5332)  3 Y 3.12
Te (0.7358, 0.6986, 0.9673)  1 Tm 3.09, 2 Y 3.12
Te (0.2642, 0.3014, 0.0327)  1 Tm 3.09, 2 Y 3.12
Te (0.7334, 0.6999, 0.4668)  3 Y 3.12
Te (0.7685, 0.3014, 0.5370)  1 Tm 3.09, 2 Y 3.12
Te (0.7685, 0.3014, 0.0327)  1 Tm 3.09, 2 Y 3.12


[2]
Crystalline Rb2TmZn2Te4 at its relaxed geometry, computed with PBE.

Formation energy (no corrections) in meV per atom: -848
DOS(E_F) in states/eV/atom: 0.20
Crystal system: monoclinic

Cell: 4.7524 8.4821 8.5024 Å, 108.12 106.23 90.00°
Closest atoms and distances in Å follow each position.
Sites, in units of the cell vectors:
Rb (0.1326, 0.5680, 0.2652)  7 Te 3.77-3.91, 3 Zn 4.00-4.22, 1 Rb 4.10
Rb (0.8674, 0.4320, 0.7348)  7 Te 3.77-3.91, 3 Zn 4.00-4.22, 1 Rb 4.10
Tm (0.0000, 0.0000, 0.0000)  6 Te 3.10-3.13
Zn (0.6732, 0.9982, 0.3464)  4 Te 2.73-2.85
Zn (0.3268, 0.0018, 0.6536)  4 Te 2.73-2.85
Te (0.1997, 0.1660, 0.3994)  3 Zn 2.73-2.85
Te (0.8003, 0.8340, 0.6006)  3 Zn 2.73-2.85
Te (0.5115, 0.7671, 0.0231)  1 Zn 2.73
Te (0.4885, 0.2329, 0.9769)  1 Zn 2.73


Q: formation energy (no corrections) of number 1 (Rb4Y3TmTe8)?
A: -1389 meV per atom